No. 1
DFT (PBE) results for an optimized crystal structure of LiCaSF.

Cell: 3.8443 3.8443 8.6104 Å, 90.00 90.00 90.00°
Space group P4/nmm (No. 129, origin choice 2)
Asymmetric unit:
Li: 0.2500 0.7500 0.0000
Ca: 0.2500 0.2500 0.3440
S: 0.2500 0.2500 0.8276
F: 0.2500 0.7500 0.5000

## Properties
- uncorrected formation energy (eV per atom) = -2.479
- crystal system = tetragonal
- Fermi-level density of states (states/eV/cell) = 0.0
- magnetization (μB/cell) = 0.0

No. 2
DFT (PBE) results for an optimized crystal structure of LiCa2SbF.

Cell: 5.0241 5.0241 4.2579 Å, 90.00 90.00 90.00°
Space group P4/mmm (No. 123)
Asymmetric unit:
Li: 0.0000 0.0000 0.0000
Ca: 0.0000 0.5000 0.5000
Sb: 0.5000 0.5000 0.0000
F: 0.0000 0.0000 0.5000

## Properties
- uncorrected formation energy (eV per atom) = -1.517
- crystal system = tetragonal
- Fermi-level density of states (states/eV/cell) = 2.7
- magnetization (μB/cell) = 0.0

No. 3
DFT (PBE) results for an optimized crystal structure of Li2CaSbF.

Cell: 4.4569 4.4569 4.6950 Å, 90.00 90.00 90.00°
Space group P4/mmm (No. 123)
Asymmetric unit:
Li: 0.0000 0.5000 0.0000
Ca: 0.0000 0.0000 0.5000
Sb: 0.5000 0.5000 0.5000
F: 0.0000 0.0000 0.0000

## Properties
- uncorrected formation energy (eV per atom) = -1.621
- crystal system = tetragonal
- magnetization (μB/cell) = 0.0

No. 4
DFT (PBE) results for an optimized crystal structure of LiCaScF6.

Cell: 5.3064 5.3064 9.9106 Å, 90.00 90.00 120.00°
Space group P-31c (No. 163)
Asymmetric unit:
Li: 0.3333 0.6667 0.2500
Ca: 0.0000 0.0000 0.0000
Sc: 0.3333 0.6667 0.7500
F: 0.0054 0.3528 0.6375

## Properties
- uncorrected formation energy (eV per atom) = -3.733
- crystal system = trigonal
- Fermi-level density of states (states/eV/cell) = 0.0
- magnetization (μB/cell) = 0.0

No. 5
DFT (PBE) results for an optimized crystal structure of LiCaSeF.

Cell: 3.9596 3.9596 8.8959 Å, 90.00 90.00 90.00°
Space group P4/nmm (No. 129, origin choice 2)
Asymmetric unit:
Li: 0.2500 0.7500 0.0000
Ca: 0.2500 0.2500 0.3535
Se: 0.2500 0.2500 0.8199
F: 0.2500 0.7500 0.5000

## Properties
- uncorrected formation energy (eV per atom) = -2.429
- crystal system = tetragonal
- Fermi-level density of states (states/eV/cell) = 0.0
- magnetization (μB/cell) = 0.0

No. 6
DFT (PBE) results for an optimized crystal structure of LiCaTlTeSeF.

Cell: 4.3663 5.4987 7.7201 Å, 108.41 106.39 90.07°
Space group P1 (No. 1)
Asymmetric unit:
Li: 0.0000 0.0000 0.0000
Ca: 0.8384 0.3358 0.6821
Tl: 0.1526 0.6999 0.3108
Te: 0.4973 0.6242 0.9995
Se: 0.1962 0.2434 0.3973
F: 0.8738 0.9904 0.7515

## Properties
- uncorrected formation energy (eV per atom) = -1.484
- crystal system = triclinic
- energy above the most stable polymorph in this dataset (eV per atom) = 0.100
- Fermi-level density of states (states/eV/cell) = 0.6
- magnetization (μB/cell) = 0.0

No. 7
DFT (PBE) results for an optimized crystal structure of LiCaTlTeSeF.

Cell: 5.0828 4.5223 6.6857 Å, 90.00 93.85 90.00°
Space group Pm (No. 6)
Asymmetric unit:
Li: 0.0000 0.0000 0.0000
Ca: 0.5640 0.5000 0.9886
Tl: 0.4451 0.0000 0.4896
Te: 0.0477 0.5000 0.6915
Se: 0.0889 0.5000 0.2082
F: 0.6206 0.0000 0.9853

## Properties
- uncorrected formation energy (eV per atom) = -1.532
- crystal system = monoclinic
- energy above the most stable polymorph in this dataset (eV per atom) = 0.052
- Fermi-level density of states (states/eV/cell) = 3.0
- magnetization (μB/cell) = 0.0

No. 8
DFT (PBE) results for an optimized crystal structure of LiCaTlTeSeF.

Cell: 3.5231 6.4328 7.0825 Å, 99.80 104.28 90.18°
Space group P1 (No. 1)
Asymmetric unit:
Li: 0.0000 0.0000 0.0000
Ca: 0.3096 0.1727 0.6179
Tl: 0.1140 0.5484 0.2118
Te: 0.3558 0.6844 0.7167
Se: 0.6370 0.1510 0.2713
F: 0.9068 0.1828 0.8138

## Properties
- uncorrected formation energy (eV per atom) = -1.565
- crystal system = triclinic
- energy above the most stable polymorph in this dataset (eV per atom) = 0.019
- Fermi-level density of states (states/eV/cell) = 1.8
- magnetization (μB/cell) = 0.0

No. 9
DFT (PBE) results for an optimized crystal structure of LiCaTlTeSeF.

Cell: 13.8438 3.5191 6.6008 Å, 90.00 104.37 90.00°
Space group Cm (No. 8)
Asymmetric unit:
Li: 0.0000 0.0000 0.0000
Ca: 0.1913 0.5000 0.8471
Tl: 0.3791 0.0000 0.4380
Te: 0.1613 0.5000 0.3399
Se: 0.3626 0.0000 0.9397
F: 0.0906 0.0000 0.8307

## Properties
- uncorrected formation energy (eV per atom) = -1.564
- crystal system = monoclinic
- energy above the most stable polymorph in this dataset (eV per atom) = 0.021
- Fermi-level density of states (states/eV/cell) = 0.5
- magnetization (μB/cell) = 0.0

No. 10
DFT (PBE) results for an optimized crystal structure of LiCaTlTeSeF.

Cell: 16.3928 4.5025 4.3742 Å, 90.00 103.59 90.00°
Space group Cm (No. 8)
Asymmetric unit:
Li: 0.0000 0.0000 0.0000
Ca: 0.3783 0.0000 0.6357
Tl: 0.1750 0.5000 0.4684
Te: 0.2172 0.0000 0.0036
Se: 0.0008 0.5000 0.2547
F: 0.3955 0.5000 0.6970

## Properties
- uncorrected formation energy (eV per atom) = -1.570
- crystal system = monoclinic
- energy above the most stable polymorph in this dataset (eV per atom) = 0.014
- Fermi-level density of states (states/eV/cell) = 3.0
- magnetization (μB/cell) = 0.0

No. 11
DFT (PBE) results for an optimized crystal structure of LiCaTlTeSeF.

Cell: 13.8663 4.0043 5.9539 Å, 90.00 106.18 90.00°
Space group Cm (No. 8)
Asymmetric unit:
Li: 0.0000 0.0000 0.0000
Ca: 0.1252 0.5000 0.7304
Tl: 0.2804 0.0000 0.3306
Te: 0.3271 0.0000 0.8606
Se: 0.1179 0.5000 0.2327
F: 0.0499 0.0000 0.7324

## Properties
- uncorrected formation energy (eV per atom) = -1.584
- crystal system = monoclinic
- energy above the most stable polymorph in this dataset (eV per atom) = 0.000
- Fermi-level density of states (states/eV/cell) = 1.4
- magnetization (μB/cell) = 0.0